Compound: Ac2TbMnO6
Source: Alexandria
Functional: PBE+U
Structure: optimized geometry

Lattice parameters (Å, degrees): 4.2709 4.2709 8.1809 90.00 90.00 90.00
Last column: nearest neighbours and their distance in Å.
Sites, in units of the cell vectors:
Mn 0.5000 0.5000 0.5000  2 O 1.88
Tb 0.5000 0.5000 0.0000  6 O 2.14-2.21
O 0.5000 0.0000 0.0000  2 Tb 2.14
O 0.0000 0.5000 0.5000  2 Mn 2.14
Ac 0.0000 0.0000 0.7338  12 O 2.87-3.05
O 0.5000 0.5000 0.7299  1 Mn 1.88
O 0.0000 0.5000 0.0000  2 Tb 2.14
O 0.5000 0.0000 0.5000  2 Mn 2.14
Ac 0.0000 0.0000 0.2662  12 O 2.87-3.05
O 0.5000 0.5000 0.2701  1 Mn 1.88

## Properties
The theoretical density is 8.50 g cm⁻³. The energy is -7.80 eV/atom.